The following is a DFT calculation (GGA-PBE) of a geometry-optimized NdSm2Cu3 structure.

Cell: 5.0165 15.0651 7.1952 Å, 90.00 90.00 90.00°
With the nearest neighbours (Å) after each atom.
Space group Cmmm (No. 65)
Symmetry-distinct sites (fractional):
1 Nd 0.0000 0.1663 0.0000 (multiplicity 4)  8 Cu 3.10-3.14
2 Sm 0.0000 0.1670 0.5000 (multiplicity 4)  8 Cu 3.06-3.08
3 Sm 0.0000 0.5000 0.0000 (multiplicity 2)  8 Cu 3.09-3.11
4 Sm 0.0000 0.5000 0.5000 (multiplicity 2)  8 Cu 3.04-3.07
5 Cu 0.0000 0.0000 0.2547 (multiplicity 4)  6 Sm 3.07-3.11, 2 Nd 3.10
6 Cu 0.0000 0.3353 0.2559 (multiplicity 8)  5 Sm 3.04-3.09, 3 Nd 3.11-3.14

calculated density	7.76	g/cm³
total moment	0.00	μB per formula unit
energy above the lowest structure with this stoichiometry	0.026	eV/f.u.
formation energy from the elements	-0.165	eV per atom

The following is a DFT calculation (GGA-PBE) of a geometry-optimized Dy2Y3Tm3 structure.

Cell: 15.9960 5.6791 5.9944 Å, 90.00 111.75 90.00°
With the nearest neighbours (Å) after each atom.
Space group C2/m (No. 12)
Symmetry-distinct sites (fractional):
1 Dy 0.2504 0.0000 0.1833 (multiplicity 4)  5 Tm 3.41-3.73, 5 Y 3.42-3.74, 2 Dy 3.59
2 Y 0.0000 0.0000 0.0000 (multiplicity 2)  2 Y 3.30, 4 Tm 3.45
3 Y 0.1315 0.0000 0.5745 (multiplicity 4)  1 Y 3.30, 4 Dy 3.42-3.52, 5 Tm 3.46-3.67
4 Tm 0.0000 0.5000 0.5000 (multiplicity 2)  2 Tm 3.29, 4 Y 3.46
5 Tm 0.1304 0.5000 0.1843 (multiplicity 4)  1 Tm 3.29, 4 Dy 3.41-3.56, 5 Y 3.45-3.67

calculated density	7.21	g/cm³
total moment	0.00	μB per formula unit
energy above the lowest structure with this stoichiometry	0.000	eV/f.u.
formation energy from the elements	0.103	eV per atom